# 1
First-principles (PBE) data for a relaxed structure of Dy4ZnIr3, as listed in Alexandria via LeMat-Bulk.

a = 4.886 Å, b = 4.886 Å, c = 8.477 Å
α = 73.25°, β = 73.25°, γ = 60.00°
Sites, in units of the cell vectors:
Zn1 0.000 0.000 0.000
Ir1 0.252 0.252 0.244
Ir2 0.748 0.748 0.756
Ir3 0.500 0.500 0.500
Dy1 0.873 0.873 0.382
Dy2 0.378 0.378 0.867
Dy3 0.127 0.127 0.618
Dy4 0.622 0.622 0.133

Calculated values
Magnetic moment ... 0.000 Bohr magnetons per cell
Energy of formation ... -0.75 eV/atom
E ... -6.529 eV per atom



# 2
First-principles (PBE) data for a relaxed structure of Dy2Zn5Ir5, as listed in Alexandria via LeMat-Bulk.

a = 4.075 Å, b = 5.549 Å, c = 9.058 Å
α = 90.00°, β = 90.00°, γ = 90.00°
Sites, in units of the cell vectors:
Dy1 0.000 0.500 0.000
Dy2 0.000 0.000 0.500
Zn1 0.000 0.500 0.330
Zn2 0.000 0.000 0.830
Zn3 0.000 0.000 0.170
Zn4 0.000 0.500 0.670
Zn5 0.500 0.000 0.000
Ir1 0.500 0.500 0.500
Ir2 0.500 0.754 0.248
Ir3 0.500 0.246 0.752
Ir4 0.500 0.246 0.248
Ir5 0.500 0.754 0.752

Calculated values
Magnetic moment ... 0.000 Bohr magnetons per cell
Energy of formation ... -0.43 eV/atom
E ... -5.419 eV per atom



# 3
First-principles (PBE) data for a relaxed structure of Dy12Zn6Ir, as listed in Alexandria via LeMat-Bulk.

a = 8.010 Å, b = 8.010 Å, c = 8.010 Å
α = 93.25°, β = 93.25°, γ = 93.25°
Sites, in units of the cell vectors:
Dy1 0.801 0.565 0.451
Dy2 0.451 0.801 0.565
Dy3 0.565 0.451 0.801
Dy4 0.199 0.435 0.549
Dy5 0.549 0.199 0.435
Dy6 0.435 0.549 0.199
Dy7 0.966 0.102 0.321
Dy8 0.898 0.679 0.034
Dy9 0.679 0.034 0.898
Dy10 0.034 0.898 0.679
Dy11 0.102 0.321 0.966
Dy12 0.321 0.966 0.102
Zn1 0.657 0.862 0.266
Zn2 0.734 0.343 0.138
Zn3 0.138 0.734 0.343
Zn4 0.343 0.138 0.734
Zn5 0.266 0.657 0.862
Zn6 0.862 0.266 0.657
Ir1 0.000 0.000 0.000

Calculated values
Magnetic moment ... 0.000 Bohr magnetons per cell
Energy of formation ... -0.17 eV/atom
E ... -3.944 eV per atom



# 4
First-principles (PBE) data for a relaxed structure of DyZn3Ir, as listed in Alexandria via LeMat-Bulk.

a = 4.313 Å, b = 7.251 Å, c = 4.814 Å
α = 138.86°, β = 90.00°, γ = 90.00°
Sites, in units of the cell vectors:
Dy1 0.500 0.882 0.764
Zn1 0.000 0.059 0.491
Zn2 0.000 0.432 0.491
Zn3 0.500 0.385 0.769
Ir1 0.000 0.597 0.194

Calculated values
Magnetic moment ... 0.000 Bohr magnetons per cell
Energy of formation ... -0.31 eV/atom
E ... -3.765 eV per atom